(1)
A plane-wave DFT calculation with GGA-PBE was carried out for an optimized crystal structure of ZnNi5Pd12.

Summary:
* E_form: -6.23 kJ per mole of atoms
* total DFT energy (no corrections): -93.657 eV/cell

```
ZnNi5Pd12
1.0
5.538 -5.895 0.000
5.538 5.895 0.000
0.000 0.000 3.913
Zn Ni Pd
1 5 12
Cartesian
0.000 0.000 0.000
5.538 3.859 1.957
5.538 1.945 0.000
5.538 0.000 1.957
5.538 -1.945 0.000
5.538 -3.859 1.957
3.801 3.913 3.903
1.729 0.000 1.939
3.783 1.948 1.968
7.275 3.913 0.010
3.784 0.000 3.902
7.293 1.948 1.945
3.783 -1.948 1.968
7.291 0.000 0.011
3.801 -3.913 3.903
7.293 -1.948 1.945
9.347 0.000 1.974
7.275 -3.913 0.010
```


(2)
A plane-wave DFT calculation with GGA-PBE was carried out for an optimized crystal structure of Zn4NiPd2.

Summary:
* E_form: 8.28 kJ per mole of atoms
* total DFT energy (no corrections): -20.662 eV/cell

```
Zn4NiPd2
1.0
-2.245 2.245 6.251
2.245 -2.245 6.251
2.245 2.245 -6.251
Zn Ni Pd
4 1 2
Cartesian
2.245 0.000 0.000
0.000 0.000 2.353
0.000 2.245 0.000
0.000 0.000 10.149
0.000 0.000 0.000
0.000 0.000 4.842
0.000 0.000 7.660
```


(3)
A plane-wave DFT calculation with GGA-PBE was carried out for an optimized crystal structure of ZnNi5Pd6.

Summary:
* E_form: -5.33 kJ per mole of atoms
* total DFT energy (no corrections): -62.000 eV/cell

```
ZnNi5Pd6
1.0
4.506 0.000 0.000
0.000 5.497 0.000
-0.536 0.000 6.541
Zn Ni Pd
1 5 6
Cartesian
0.000 0.000 0.000
0.000 2.748 0.000
1.149 2.748 4.376
1.169 0.000 4.342
2.801 0.000 2.199
2.822 2.748 2.166
0.567 1.380 2.189
0.567 4.116 2.189
2.253 1.384 0.000
2.253 4.113 0.000
3.403 1.380 4.353
3.403 4.116 4.353
```


(4)
A plane-wave DFT calculation with GGA-PBE was carried out for an optimized crystal structure of ZnNiPd2.

Summary:
* E_form: -26.02 kJ per mole of atoms
* total DFT energy (no corrections): -18.520 eV/cell

```
ZnNiPd2
1.0
4.341 0.000 0.000
0.000 4.341 0.000
0.000 0.000 2.938
Zn Ni Pd
1 1 2
Cartesian
0.000 0.000 0.000
2.170 2.170 0.000
0.000 2.170 1.469
2.170 0.000 1.469
```


Number 1: D(E_F) 26.516 states/eV/cell. Number 2: D(E_F) 2.648 states/eV/cell. Number 3: D(E_F) 18.181 states/eV/cell. Number 4: D(E_F) 3.214 states/eV/cell.